First-principles (GGA-PBE) data for an optimized crystal structure of PbINF2, as listed in Alexandria.

- ΔE_f (raw) (meV per atom) = -221
- E above lowest polymorph (kJ per mole of atoms) = 0.0
- Fermi-level density of states (states/eV/cell) = 3.1
- space group = No. 123

abc: 4.415 4.415 4.812
angles: 90.00 90.00 90.00
Positions (direct):
F: 0.000 0.500 0.000
F: 0.500 0.000 0.000
N: 0.000 0.000 0.500
I: 0.500 0.500 0.500
Pb: 0.000 0.000 0.000